A plane-wave DFT calculation with PBE was carried out for a relaxed structure of BaSrGaP2.

```
data_BaSrGaP2
_chemical_formula_sum 'Ba2 Sr2 Ga2 P4'
_symmetry_space_group_name_H-M 'P 1 2/c 1'
_symmetry_Int_Tables_number 13
_symmetry_space_group_name_Hall '-P 2yc'
_cell_length_a 7.374
_cell_length_b 5.251
_cell_length_c 8.365
_cell_angle_alpha 90.00
_cell_angle_beta 104.68
_cell_angle_gamma 90.00
loop_
_atom_site_label
_atom_site_type_symbol
_atom_site_fract_x
_atom_site_fract_y
_atom_site_fract_z
_atom_site_occupancy
Ba1 Ba 0.000 0.214 0.250 1
Sr1 Sr 0.500 0.476 0.750 1
Ga1 Ga 0.500 0.000 0.000 1
P1 P 0.245 0.251 0.956 1
```

Properties
Fermi-level density of states in states/eV per atom: 0.64
Distance to the lowest polymorph of the same formula in meV/atom: 0.0
Formation energy from the elements in eV/atom: -0.670